Computed, not measured: an optimized crystal structure of YGeMo2Se at the PBE-GGA level of DFT.

Unit cell a=4.6385 b=5.2263 c=4.6385 alpha=90.00 beta=90.00 gamma=90.00
With the nearest neighbours (Å) after each atom.
Atoms (fractional coordinates):
1 Se 0.0000 0.0000 0.0000  4 Mo 2.32
2 Ge 0.0000 0.5000 0.0000  2 Se 2.61
3 Y 0.5000 0.5000 0.5000  4 Ge 3.28, 8 Mo 3.49
4 Mo 0.5000 0.0000 0.0000  2 Se 2.32
5 Mo 0.0000 0.0000 0.5000  2 Se 2.32

DOS(E_F) (states/eV per cell): 5.5
Space group: P4/mmm (123)
ΔE_f (raw) (eV per atom): 0.646